Entry from Alexandria via LeMat-Bulk: a relaxed TaMnCr2 crystal (PBE).

The total energy is -9.901 eV/atom. The calculation puts the density of states at the Fermi level at 4.31 states/eV/f.u. The calculation puts the formation energy from the elements at 0.67 eV per formula unit.

abc: 2.632 2.632 8.108
angles: 90.00 90.00 108.76
Last column: magnetic moment on the atom in μB.
Fractional positions:
Ta  0.500  0.500  0.750  0.03
Cr  0.000  0.000  0.024  -0.24
Cr  0.000  0.000  0.476  -0.24
Mn  0.500  0.500  0.250  1.27

Entry from Alexandria via LeMat-Bulk: a relaxed TaMnCr2 crystal (PBE).

The total energy is -9.954 eV/atom. The calculation puts the density of states at the Fermi level at 3.59 states/eV/f.u. The calculation puts the formation energy from the elements at 0.45 eV per formula unit.

abc: 4.134 2.646 4.892
angles: 79.14 90.00 90.00
Fractional positions:
Cr  0.000  0.509  0.480
Cr  0.000  0.991  0.020
Mn  0.500  0.250  0.250
Ta  0.500  0.750  0.750

Entry from Alexandria via LeMat-Bulk: a relaxed Ta5MnCr4 crystal (PBE).

The total energy is -10.775 eV/atom. The calculation puts the density of states at the Fermi level at 9.07 states/eV/f.u. The calculation puts the formation energy from the elements at -0.82 eV per formula unit.

abc: 3.089 3.089 15.481
angles: 90.00 90.00 90.00
Fractional positions:
Cr  0.000  0.000  0.600
Cr  0.000  0.000  0.400
Cr  0.000  0.000  0.801
Cr  0.000  0.000  0.199
Ta  0.500  0.500  0.500
Ta  0.500  0.500  0.299
Ta  0.500  0.500  0.099
Ta  0.500  0.500  0.901
Ta  0.500  0.500  0.701
Mn  0.000  0.000  0.000

Entry from Alexandria via LeMat-Bulk: a relaxed Ta3Mn2Cr crystal (PBE).

The total energy is -10.766 eV/atom. The calculation puts the density of states at the Fermi level at 3.85 states/eV/f.u. The calculation puts the formation energy from the elements at -1.08 eV per formula unit.

abc: 3.073 3.073 9.239
angles: 90.00 90.00 90.00
Last column: magnetic moment on the atom in μB.
Fractional positions:
Ta  0.000  0.000  0.332  -0.05
Ta  0.000  0.000  0.668  -0.05
Ta  0.000  0.000  0.000  -0.03
Mn  0.500  0.500  0.836  0.08
Mn  0.500  0.500  0.164  0.08
Cr  0.500  0.500  0.500  0.35

Entry from Alexandria via LeMat-Bulk: a relaxed Ta4Mn2Cr crystal (PBE).

The total energy is -10.681 eV/atom. The calculation puts the density of states at the Fermi level at 6.91 states/eV/f.u. The calculation puts the formation energy from the elements at 0.61 eV per formula unit.

abc: 5.262 5.262 5.262
angles: 109.65 109.38 109.38
Fractional positions:
Cr  0.000  0.000  0.000
Ta  0.500  0.000  0.000
Ta  0.500  0.500  0.500
Ta  0.000  0.500  0.000
Ta  0.000  0.000  0.500
Mn  0.500  0.000  0.500
Mn  0.500  0.500  0.000

Entry from Alexandria via LeMat-Bulk: a relaxed TaMnCrTc2 crystal (PBE).

The total energy is -8.172 eV/atom. The calculation puts the density of states at the Fermi level at 6.16 states/eV/f.u. The calculation puts the formation energy from the elements at 10.52 eV per formula unit.

abc: 4.684 4.569 4.684
angles: 90.00 90.00 90.00
Last column: magnetic moment on the atom in μB.
Fractional positions:
Tc  0.500  0.000  0.000  -1.03
Tc  0.000  0.000  0.500  -0.85
Cr  0.000  0.500  0.000  2.33
Mn  0.500  0.500  0.500  0.80
Ta  0.000  0.000  0.000  -0.05

Entry from Alexandria via LeMat-Bulk: a relaxed Ta2MnVCr crystal (PBE).

The total energy is -9.335 eV/atom. The calculation puts the density of states at the Fermi level at 5.23 states/eV/f.u. The calculation puts the formation energy from the elements at 4.94 eV per formula unit.

abc: 4.657 4.017 4.657
angles: 90.00 90.00 90.00
Last column: magnetic moment on the atom in μB.
Fractional positions:
Mn  0.000  0.000  0.000  0.07
Ta  0.000  0.000  0.500  -0.14
Ta  0.500  0.000  0.000  -0.25
V  0.500  0.500  0.500  1.18
Cr  0.000  0.500  0.000  0.57

Entry from Alexandria via LeMat-Bulk: a relaxed MnCrTc2 crystal (PBE).

The total energy is -9.734 eV/atom. The calculation puts the density of states at the Fermi level at 5.63 states/eV/f.u. The calculation puts the formation energy from the elements at 0.59 eV per formula unit.

abc: 4.624 4.624 4.624
angles: 132.16 132.16 69.97
Last column: magnetic moment on the atom in μB.
Fractional positions:
Tc  0.000  0.000  0.000  -0.09
Tc  0.250  0.750  0.500  0.08
Mn  0.750  0.250  0.500  2.08
Cr  0.500  0.500  0.000  -0.81

Entry from Alexandria via LeMat-Bulk: a relaxed Mn4CrTc crystal (PBE).

The total energy is -9.418 eV/atom. The calculation puts the density of states at the Fermi level at 4.50 states/eV/f.u. The calculation puts the formation energy from the elements at 0.16 eV per formula unit.

abc: 4.625 4.625 4.625
angles: 60.00 60.00 60.00
Fractional positions:
Tc  0.750  0.750  0.750
Mn  0.878  0.374  0.374
Mn  0.374  0.878  0.374
Mn  0.374  0.374  0.878
Mn  0.374  0.374  0.374
Cr  0.000  0.000  0.000

Entry from Alexandria via LeMat-Bulk: a relaxed MnCrTc2 crystal (PBE).

The total energy is -9.731 eV/atom. The calculation puts the density of states at the Fermi level at 4.87 states/eV/f.u. The calculation puts the formation energy from the elements at 0.60 eV per formula unit.

abc: 4.592 4.592 4.559
angles: 79.54 79.54 34.04
Last column: magnetic moment on the atom in μB.
Fractional positions:
Mn  0.755  0.755  0.750  1.59
Cr  0.493  0.493  0.503  -0.69
Tc  0.246  0.246  0.261  -0.06
Tc  0.006  0.006  0.985  -0.07

Entry from Alexandria via LeMat-Bulk: a relaxed MnCrTc2 crystal (PBE).

The total energy is -9.757 eV/atom. The calculation puts the density of states at the Fermi level at 4.38 states/eV/f.u. The calculation puts the formation energy from the elements at 0.50 eV per formula unit.

abc: 2.608 2.608 8.289
angles: 90.00 90.00 108.45
Last column: magnetic moment on the atom in μB.
Fractional positions:
Tc  0.000  0.000  0.001  -0.10
Tc  0.000  0.000  0.499  -0.10
Mn  0.500  0.500  0.750  2.35
Cr  0.500  0.500  0.250  -0.02

Entry from Alexandria via LeMat-Bulk: a relaxed MnCr3Tc2 crystal (PBE).

The total energy is -9.536 eV/atom. The calculation puts the density of states at the Fermi level at 7.00 states/eV/f.u. The calculation puts the formation energy from the elements at 1.56 eV per formula unit.

abc: 4.416 5.569 6.953
angles: 113.61 90.00 90.00
Last column: magnetic moment on the atom in μB.
Fractional positions:
Cr  0.250  0.042  0.374  0.06
Cr  0.250  0.668  0.626  0.06
Cr  0.750  0.958  0.626  0.06
Cr  0.750  0.332  0.374  0.06
Cr  0.500  0.000  0.000  -0.10
Cr  0.000  0.000  0.000  -0.10
Tc  0.750  0.802  0.260  -0.05
Tc  0.750  0.542  0.740  -0.05
Tc  0.250  0.458  0.260  -0.05
Tc  0.250  0.198  0.740  -0.05
Mn  0.750  0.368  0.000  0.69
Mn  0.250  0.632  0.000  0.69

Question: Which of these has the lowest formation energy from the elements?
Answer: Ta3Mn2Cr

Question: formation energy from the elements of number 10 (MnCrTc2)?
Answer: 0.60 eV per formula unit